--- a ---
Computed, not measured: crystalline LaAlSe2N at its relaxed geometry at the PBE-GGA level of DFT.

The structure in POSCAR format:
```
LaAlSe2N
1.0
5.947 0.000 0.000
0.000 5.947 0.000
0.000 0.000 4.275
La Al Se N
1 1 2 1
Cartesian
0.000 0.000 0.000
2.974 2.974 2.137
0.000 2.974 0.000
2.974 0.000 0.000
0.000 0.000 2.137
```

Results
- Space group: P4/mmm (123)

---

--- b ---
Computed, not measured: crystalline LaAlSe2N at its relaxed geometry at the PBE-GGA level of DFT.

The structure in POSCAR format:
```
LaAlSe2N
1.0
5.116 0.000 0.000
0.000 5.116 0.000
0.000 0.000 3.790
La Al Se N
1 1 2 1
Cartesian
0.000 0.000 0.000
2.558 2.558 1.895
0.000 2.558 1.895
2.558 0.000 1.895
2.558 2.558 0.000
```

Results
- Space group: P4/mmm (123)

---

b wins, 1092 meV per atom ahead of the next structure.

---

--- a ---
Computed, not measured: crystalline LaAlSeN2 at its relaxed geometry at the PBE-GGA level of DFT.

The structure in POSCAR format:
```
LaAlSeN2
1.0
4.027 0.000 0.000
0.000 4.027 0.000
0.000 0.000 5.007
La Al Se N
1 1 1 2
Cartesian
0.000 0.000 0.000
2.014 2.014 2.504
2.014 2.014 0.000
0.000 2.014 2.504
2.014 0.000 2.504
```

Results
- Space group: P4/mmm (123)

---

--- b ---
Computed, not measured: crystalline LaAlSeN2 at its relaxed geometry at the PBE-GGA level of DFT.

The structure in POSCAR format:
```
LaAlSeN2
1.0
4.183 0.000 0.000
0.000 4.183 0.000
0.000 0.000 6.402
La Al Se N
1 1 1 2
Cartesian
0.000 0.000 0.000
2.091 2.091 3.201
0.000 0.000 3.201
0.000 2.091 0.000
2.091 0.000 0.000
```

Results
- Space group: P4/mmm (123)

---

a wins, 1013 meV per atom ahead of the next structure.

---

--- a ---
Computed, not measured: crystalline Na2La2Al at its relaxed geometry at the PBE-GGA level of DFT.

The structure in POSCAR format:
```
Na2La2Al
1.0
7.844 0.000 0.000
0.000 7.844 0.000
0.000 0.000 5.963
Na La Al
4 4 2
Cartesian
1.359 2.563 0.000
2.563 6.484 0.000
5.281 1.359 0.000
6.484 5.281 0.000
1.044 4.966 2.981
2.878 1.044 2.981
4.966 6.799 2.981
6.799 2.878 2.981
0.000 0.000 2.981
3.922 3.922 2.981
```

Results
- Space group: P4/mbm (127)

---

--- b ---
Computed, not measured: crystalline Na2La2Al at its relaxed geometry at the PBE-GGA level of DFT.

The structure in POSCAR format:
```
Na2La2Al
1.0
-2.000 2.000 10.295
2.000 -2.000 10.295
2.000 2.000 -10.295
Na La Al
2 2 1
Cartesian
2.000 0.000 5.147
0.000 2.000 5.147
0.000 0.000 1.714
0.000 0.000 18.876
0.000 0.000 10.295
```

Results
- Space group: I4/mmm (139)

---

b wins, 206 meV per atom ahead of the next structure.

---

--- a ---
Computed, not measured: crystalline LaNbAl3 at its relaxed geometry at the PBE-GGA level of DFT.

The structure in POSCAR format:
```
LaNbAl3
1.0
4.992 0.000 0.000
0.000 4.992 0.000
0.000 0.000 4.992
La Nb Al
1 1 3
Cartesian
0.000 0.000 0.000
2.496 2.496 2.496
0.000 2.496 2.496
2.496 0.000 2.496
2.496 2.496 0.000
```

Results
- Space group: Pm-3m (221)

---

--- b ---
Computed, not measured: crystalline LaNbAl3 at its relaxed geometry at the PBE-GGA level of DFT.

The structure in POSCAR format:
```
LaNbAl3
1.0
5.227 0.000 0.000
0.000 5.227 0.000
0.000 0.000 5.227
La Nb Al
1 1 3
Cartesian
0.000 0.000 0.000
2.614 2.614 2.614
0.000 0.000 2.614
0.000 2.614 0.000
2.614 0.000 0.000
```

Results
- Space group: Pm-3m (221)

---

a wins, 1812 meV per atom ahead of the next structure.

---

--- a ---
Computed, not measured: crystalline LaNd3Al8 at its relaxed geometry at the PBE-GGA level of DFT.

The structure in POSCAR format:
```
LaNd3Al8
1.0
5.695 0.000 0.000
-2.847 4.932 0.000
0.000 0.000 9.384
La Nd Al
1 3 8
Cartesian
0.000 0.000 0.000
0.000 0.000 3.397
2.847 1.644 4.684
2.847 1.644 8.110
0.000 1.600 6.379
-1.462 4.132 6.379
0.000 3.288 4.068
0.000 3.288 8.740
2.847 0.045 1.727
1.462 2.443 1.727
1.462 4.132 6.379
4.232 2.443 1.727
```

Results
- Space group: P3m1 (156)

---

--- b ---
Computed, not measured: crystalline LaNd3Al8 at its relaxed geometry at the PBE-GGA level of DFT.

The structure in POSCAR format:
```
LaNd3Al8
1.0
2.850 1.646 9.320
-2.850 1.646 9.320
0.000 -3.291 9.320
La Nd Al
1 3 8
Cartesian
0.000 0.000 0.000
0.000 0.000 3.486
0.000 0.000 13.981
0.000 0.000 17.494
0.000 -1.644 6.390
-1.424 0.822 6.390
-1.423 -0.821 11.090
0.000 0.000 8.735
1.424 0.822 6.390
1.423 -0.821 11.090
0.000 1.643 11.090
0.000 0.000 22.725
```

Results
- Space group: R3m (160)

---

b wins, 14 meV per atom ahead of the next structure.

---

--- a ---
Computed, not measured: crystalline LaNd2Al at its relaxed geometry at the PBE-GGA level of DFT.

The structure in POSCAR format:
```
LaNd2Al
1.0
2.618 1.512 5.594
-2.618 1.512 5.594
0.000 -3.023 5.594
La Nd Al
1 2 1
Cartesian
0.000 0.000 0.000
0.000 0.000 9.295
0.000 0.000 13.165
0.000 0.000 3.388
```

Results
- Space group: R3m (160)

---

--- b ---
Computed, not measured: crystalline LaNd2Al at its relaxed geometry at the PBE-GGA level of DFT.

The structure in POSCAR format:
```
LaNd2Al
1.0
9.877 0.000 0.000
0.000 5.399 0.000
0.000 0.000 9.514
La Nd Al
4 8 4
Cartesian
0.803 1.350 0.126
4.136 4.049 4.883
5.741 1.350 4.631
9.074 4.049 9.388
0.577 4.049 5.936
2.027 4.049 2.325
2.911 1.350 7.083
4.361 1.350 1.178
5.516 4.049 8.336
6.966 4.049 2.432
7.850 1.350 7.189
9.300 1.350 3.579
2.441 4.049 8.749
2.498 1.350 3.992
7.379 4.049 5.522
7.436 1.350 0.765
```

Results
- Space group: Pnma (62)

---

b wins, 154 meV per atom ahead of the next structure.